Record 1
First-principles (PBEsol) data for Na2LiSmCl6 after structural relaxation, as listed in Alexandria.

Structure (POSCAR):
```
Na2LiSmCl6
1.0
0.000 5.100 5.100
5.100 0.000 5.100
5.100 5.100 0.000
Na Li Sm Cl
2 1 1 6
Direct
0.250 0.250 0.250
0.750 0.750 0.750
0.000 0.000 0.000
0.500 0.500 0.500
0.241 0.241 0.759
0.241 0.759 0.241
0.241 0.759 0.759
0.759 0.241 0.241
0.759 0.241 0.759
0.759 0.759 0.241
```

The calculated volume comes out at 26.5 A^3/atom. The total energy is -4.043 eV per atom.

---

Record 2
First-principles (PBEsol) data for LiNb3Cl8 after structural relaxation, as listed in Alexandria.

Structure (POSCAR):
```
LiNb3Cl8
1.0
6.398 -6.604 0.000
6.398 6.604 0.000
0.000 0.000 13.388
Li Nb Cl
4 12 32
Direct
0.083 0.917 0.914
0.417 0.583 0.414
0.583 0.417 0.586
0.917 0.083 0.086
0.092 0.908 0.623
0.125 0.875 0.409
0.161 0.161 0.500
0.339 0.339 0.000
0.375 0.625 0.909
0.408 0.592 0.123
0.592 0.408 0.877
0.625 0.375 0.091
0.661 0.661 0.000
0.839 0.839 0.500
0.875 0.125 0.591
0.908 0.092 0.377
0.039 0.961 0.246
0.042 0.335 0.609
0.078 0.299 0.357
0.134 0.134 0.000
0.165 0.458 0.891
0.201 0.422 0.143
0.208 0.792 0.791
0.243 0.757 0.038
0.257 0.743 0.538
0.292 0.708 0.291
0.299 0.078 0.643
0.335 0.042 0.391
0.366 0.366 0.500
0.422 0.201 0.857
0.458 0.165 0.109
0.461 0.539 0.746
0.539 0.461 0.254
0.542 0.835 0.891
0.578 0.799 0.143
0.634 0.634 0.500
0.665 0.958 0.609
0.701 0.922 0.357
0.708 0.292 0.709
0.743 0.257 0.462
0.757 0.243 0.962
0.792 0.208 0.209
0.799 0.578 0.857
0.835 0.542 0.109
0.866 0.866 0.000
0.922 0.701 0.643
0.958 0.665 0.391
0.961 0.039 0.754
```

The calculated volume comes out at 23.6 A^3/atom. The total energy is -5.578 eV per atom.

---

Record 3
First-principles (PBEsol) data for LiNbSCl2 after structural relaxation, as listed in Alexandria.

Structure (POSCAR):
```
LiNbSCl2
1.0
4.910 0.000 0.000
0.000 4.910 0.000
0.000 0.000 4.748
Li Nb S Cl
1 1 1 2
Direct
0.000 0.000 0.000
0.500 0.500 0.500
0.500 0.500 0.000
0.000 0.500 0.500
0.500 0.000 0.500
```

The calculated volume comes out at 22.9 A^3/atom. The total energy is -5.104 eV per atom.

---

Record 4
First-principles (PBEsol) data for Rb2LiNdCl6 after structural relaxation, as listed in Alexandria.

Structure (POSCAR):
```
Rb2LiNdCl6
1.0
0.000 5.206 5.206
5.206 0.000 5.206
5.206 5.206 0.000
Rb Li Nd Cl
2 1 1 6
Direct
0.250 0.250 0.250
0.750 0.750 0.750
0.000 0.000 0.000
0.500 0.500 0.500
0.242 0.242 0.758
0.242 0.758 0.242
0.242 0.758 0.758
0.758 0.242 0.242
0.758 0.242 0.758
0.758 0.758 0.242
```

The calculated volume comes out at 28.2 A^3/atom. The total energy is -4.185 eV per atom.

---

Record 5
First-principles (PBEsol) data for LiSCl2O after structural relaxation, as listed in Alexandria.

Structure (POSCAR):
```
LiSCl2O
1.0
4.716 0.000 0.000
0.000 4.716 0.000
0.000 0.000 4.776
Li S Cl O
1 1 2 1
Direct
0.000 0.000 0.000
0.000 0.000 0.500
0.000 0.500 0.500
0.500 0.000 0.500
0.500 0.500 0.000
```

The calculated volume comes out at 21.2 A^3/atom. The total energy is -2.943 eV per atom.

---

Record 6
First-principles (PBEsol) data for LiOsCl after structural relaxation, as listed in Alexandria.

Structure (POSCAR):
```
LiOsCl
1.0
2.744 0.000 0.000
0.000 3.095 0.000
0.000 0.000 10.536
Li Os Cl
2 2 2
Direct
0.000 0.000 0.000
0.500 0.500 0.500
0.000 0.000 0.652
0.500 0.500 0.152
0.000 0.000 0.425
0.500 0.500 0.925
```

The calculated volume comes out at 14.9 A^3/atom. The total energy is -4.796 eV per atom.

---

Record 7
First-principles (PBEsol) data for LiOsCl2 after structural relaxation, as listed in Alexandria.

Structure (POSCAR):
```
LiOsCl2
1.0
3.094 0.000 0.000
-1.547 2.679 0.000
0.000 0.000 22.223
Li Os Cl
3 3 6
Direct
0.000 0.000 0.000
0.333 0.667 0.667
0.667 0.333 0.333
0.000 0.000 0.500
0.333 0.667 0.167
0.667 0.333 0.833
0.000 0.000 0.261
0.000 0.000 0.739
0.333 0.667 0.405
0.333 0.667 0.928
0.667 0.333 0.072
0.667 0.333 0.595
```

The calculated volume comes out at 15.4 A^3/atom. The total energy is -4.371 eV per atom. For the offset from the most stable computed form, the calculation gives 0.2527 eV/atom.

---

Record 8
First-principles (PBEsol) data for LiOsCl2 after structural relaxation, as listed in Alexandria.

Structure (POSCAR):
```
LiOsCl2
1.0
4.223 0.000 0.000
0.000 2.992 0.000
0.000 0.000 9.397
Li Os Cl
2 2 4
Direct
0.000 0.000 0.000
0.000 0.500 0.500
0.500 0.000 0.793
0.500 0.500 0.293
0.000 0.000 0.282
0.000 0.500 0.782
0.500 0.000 0.545
0.500 0.500 0.045
```

The calculated volume comes out at 14.8 A^3/atom. The total energy is -4.477 eV per atom. For the offset from the most stable computed form, the calculation gives 0.1467 eV/atom.

---

Record 9
First-principles (PBEsol) data for LiOsCl2 after structural relaxation, as listed in Alexandria.

Structure (POSCAR):
```
LiOsCl2
1.0
3.560 0.000 0.000
0.000 4.151 0.000
0.000 0.000 11.104
Li Os Cl
2 2 4
Direct
0.000 0.000 0.000
0.500 0.500 0.500
0.000 0.000 0.500
0.500 0.500 0.000
0.000 0.500 0.134
0.000 0.500 0.866
0.500 0.000 0.366
0.500 0.000 0.634
```

The calculated volume comes out at 20.5 A^3/atom. The total energy is -4.624 eV per atom. For the offset from the most stable computed form, the calculation gives 0.0000 eV/atom.

---

Record 10
First-principles (PBEsol) data for LiOsCl2 after structural relaxation, as listed in Alexandria.

Structure (POSCAR):
```
LiOsCl2
1.0
3.002 0.000 0.000
0.000 3.002 0.000
0.000 0.000 7.003
Li Os Cl
1 1 2
Direct
0.000 0.000 0.000
0.000 0.000 0.500
0.500 0.500 0.224
0.500 0.500 0.776
```

The calculated volume comes out at 15.8 A^3/atom. The total energy is -4.178 eV per atom. For the offset from the most stable computed form, the calculation gives 0.4454 eV/atom.

---

Record 11
First-principles (PBEsol) data for LiPOsCl2 after structural relaxation, as listed in Alexandria.

Structure (POSCAR):
```
LiPOsCl2
1.0
3.894 0.000 0.000
0.000 3.894 0.000
0.000 0.000 6.573
Li P Os Cl
1 1 1 2
Direct
0.000 0.000 0.000
0.000 0.000 0.500
0.500 0.500 0.500
0.000 0.500 0.000
0.500 0.000 0.000
```

The calculated volume comes out at 19.9 A^3/atom. The total energy is -3.864 eV per atom.

---

Record 12
First-principles (PBEsol) data for LiOsPb2Cl after structural relaxation, as listed in Alexandria.

Structure (POSCAR):
```
LiOsPb2Cl
1.0
5.173 0.000 0.000
0.000 5.173 0.000
0.000 0.000 4.876
Li Os Pb Cl
1 1 2 1
Direct
0.000 0.000 0.000
0.000 0.000 0.500
0.000 0.500 0.500
0.500 0.000 0.500
0.500 0.500 0.000
```

The calculated volume comes out at 26.1 A^3/atom. The total energy is -4.675 eV per atom.

---

no.,total magnetic moment (μB per cell)
1,0.00
2,0.00
3,0.00
4,0.00
5,1.70
6,0.00
7,7.87
8,0.00
9,0.19
10,2.92
11,2.01
12,0.00